KZr3Mo: relaxed, PBE-GGA.

Results
energy above the lowest structure with this stoichiometry = 1.423 eV/atom
total magnetization = 0.00 μB per formula unit
SG = Pm-3m (221)
DFT total energy = -26.3 eV/f.u.
energy of formation = 216.73 kJ/mol of atoms

Lattice parameters (Å, degrees): 4.7980 4.7980 4.7980 90.00 90.00 90.00
Last column: nearest neighbours and their distance in Å.
Element x y z (fractional)
Mo (0.5000, 0.5000, 0.5000)  12 Zr 3.39
K (0.0000, 0.0000, 0.0000)  6 Zr 2.40
Zr (0.0000, 0.5000, 0.0000)  2 K 2.40
Zr (0.0000, 0.0000, 0.5000)  2 K 2.40
Zr (0.5000, 0.0000, 0.0000)  2 K 2.40